Record 1
Computed, not measured: a relaxed HfBiRu crystal at the GGA-PBE level of DFT.

abc: 3.5238 3.5238 11.7955
angles: 98.59 98.59 90.00
Last column: nearest neighbours and their distance in Å.
Fractional coordinates of all 6 atoms:
Ru 0.2883 0.2883 0.5766  5 Hf 2.68-2.75
Ru 0.7117 0.7117 0.4234  5 Hf 2.68-2.75
Hf 0.1692 0.1692 0.3384  5 Ru 2.68-2.75
Hf 0.8308 0.8308 0.6616  5 Ru 2.68-2.75
Bi 0.5794 0.5794 0.1587  1 Ru 3.05, 4 Hf 3.24
Bi 0.4206 0.4206 0.8413  1 Ru 3.05, 4 Hf 3.24

Properties
**Space-group type**: No. 139

Record 2
Computed, not measured: a relaxed Hf6Bi2Ru crystal at the GGA-PBE level of DFT.

abc: 5.7995 7.2755 9.7538
angles: 90.00 90.48 90.00
Last column: nearest neighbours and their distance in Å.
Fractional coordinates of all 18 atoms:
Hf 0.8647 0.9679 0.2452  1 Ru 2.61
Hf 0.8560 0.6640 0.5247  1 Ru 2.60
Hf 0.8725 0.7193 0.9661  1 Ru 2.71, 1 Hf 2.98, 1 Bi 2.99
Hf 0.6275 0.2193 0.5339  1 Ru 2.71, 1 Hf 2.98, 1 Bi 2.99
Hf 0.6440 0.1640 0.9753  1 Ru 2.60
Hf 0.6353 0.4679 0.2548  1 Ru 2.61
Hf 0.1353 0.0321 0.7548  1 Ru 2.61
Hf 0.1440 0.3360 0.4753  1 Ru 2.60
Hf 0.1275 0.2807 0.0339  1 Ru 2.71, 1 Hf 2.98, 1 Bi 2.99
Hf 0.3725 0.7807 0.4661  1 Ru 2.71, 1 Hf 2.98, 1 Bi 2.99
Hf 0.3560 0.8360 0.0247  1 Ru 2.60
Hf 0.3647 0.5321 0.7452  1 Ru 2.61
Bi 0.8826 0.4034 0.7632  9 Hf 2.96-3.24, 1 Ru 3.29
Bi 0.6174 0.9034 0.7368  9 Hf 2.96-3.24, 1 Ru 3.29
Bi 0.3826 0.0966 0.2632  9 Hf 2.96-3.24, 1 Ru 3.29
Bi 0.1174 0.5966 0.2368  9 Hf 2.96-3.24, 1 Ru 3.29
Ru 0.5000 0.5000 0.0000  6 Hf 2.60-2.71
Ru 0.0000 0.0000 0.5000  6 Hf 2.60-2.71

Properties
**Space-group type**: No. 14

Record 3
Computed, not measured: a relaxed Hf2BiRu2 crystal at the GGA-PBE level of DFT.

abc: 7.7317 7.7317 3.2340
angles: 90.00 90.00 90.00
Last column: nearest neighbours and their distance in Å.
Fractional coordinates of all 10 atoms:
Ru 0.3649 0.8649 0.0000  6 Hf 2.76-2.82, 1 Ru 2.95, 2 Bi 3.01
Ru 0.8649 0.6351 0.0000  6 Hf 2.76-2.82, 1 Ru 2.95, 2 Bi 3.01
Ru 0.6351 0.1351 0.0000  6 Hf 2.76-2.82, 1 Ru 2.95, 2 Bi 3.01
Ru 0.1351 0.3649 0.0000  6 Hf 2.76-2.82, 1 Ru 2.95, 2 Bi 3.01
Hf 0.1537 0.6537 0.5000  6 Ru 2.76-2.82
Hf 0.6537 0.8463 0.5000  6 Ru 2.76-2.82
Hf 0.8463 0.3463 0.5000  6 Ru 2.76-2.82
Hf 0.3463 0.1537 0.5000  6 Ru 2.76-2.82
Bi 0.0000 0.0000 0.0000  4 Ru 3.01, 2 Bi 3.23, 8 Hf 3.35
Bi 0.5000 0.5000 0.0000  4 Ru 3.01, 2 Bi 3.23, 8 Hf 3.35

Properties
**Space-group type**: No. 127

Record 4
Computed, not measured: a relaxed Hf3BiRu crystal at the GGA-PBE level of DFT.

abc: 5.0024 5.0024 5.0024
angles: 90.00 90.00 90.00
Last column: nearest neighbours and their distance in Å.
Fractional coordinates of all 5 atoms:
Ru 0.0000 0.0000 0.0000  6 Hf 2.50
Hf 0.0000 0.5000 0.0000  2 Ru 2.50
Hf 0.0000 0.0000 0.5000  2 Ru 2.50
Hf 0.5000 0.0000 0.0000  2 Ru 2.50
Bi 0.5000 0.5000 0.5000  12 Hf 3.54

Properties
**Space-group type**: No. 221
**E above lowest polymorph**: 0.0 meV/atom

Record 5
Computed, not measured: a relaxed HfBiRu3 crystal at the GGA-PBE level of DFT.

abc: 4.8394 4.8394 4.8394
angles: 90.00 90.00 90.00
Last column: nearest neighbours and their distance in Å.
Fractional coordinates of all 5 atoms:
Ru 0.0000 0.5000 0.0000  2 Bi 2.42
Ru 0.0000 0.0000 0.5000  2 Bi 2.42
Ru 0.5000 0.0000 0.0000  2 Bi 2.42
Hf 0.5000 0.5000 0.5000  12 Ru 3.42
Bi 0.0000 0.0000 0.0000  6 Ru 2.42

Properties
**Space-group type**: No. 221
**E above lowest polymorph**: 319.1 meV/atom

Record 6
Computed, not measured: a relaxed Hf2VBiRu crystal at the GGA-PBE level of DFT.

abc: 5.2970 5.2970 4.8329
angles: 90.00 90.00 90.00
Last column: nearest neighbours and their distance in Å.
Fractional coordinates of all 5 atoms:
Ru 0.5000 0.5000 0.5000  8 Hf 3.59, 4 V 3.75
Hf 0.0000 0.5000 0.0000  2 Bi 2.65
Hf 0.5000 0.0000 0.0000  2 Bi 2.65
Bi 0.0000 0.0000 0.0000  2 V 2.42, 4 Hf 2.65
V 0.0000 0.0000 0.5000  2 Bi 2.42

Properties
**Space-group type**: No. 123

Number 1: total magnetization 0.000 μB/f.u., total energy -7.92 eV per atom, ρ 11.333 g/cm3. Number 2: total magnetization 0.000 μB/f.u., total energy -8.57 eV per atom, ρ 12.831 g/cm3. Number 3: total magnetization 0.000 μB/f.u., total energy -8.78 eV per atom, ρ 13.195 g/cm3. Number 4: total magnetization 0.000 μB/f.u., total energy -8.50 eV per atom, ρ 11.216 g/cm3. Number 5: total magnetization 0.992 μB/f.u., total energy -6.75 eV per atom, ρ 10.120 g/cm3. Number 6: total magnetization 3.543 μB/f.u., total energy -6.57 eV per atom, ρ 8.792 g/cm3.